Fe3IrO GGA+U optimized geometry; energy = -23.01 eV/cell
1.0
4.750 0.000 0.000
0.000 4.750 0.000
0.000 0.000 4.750
Ir Fe O
1 3 1
Direct
0.000 0.000 0.000 Ir
0.000 0.500 0.000 Fe
0.000 0.000 0.500 Fe
0.500 0.000 0.000 Fe
0.500 0.500 0.500 O